Record 1
A plane-wave DFT calculation with PBE was carried out for crystalline TbSc6Se8 at its relaxed geometry.

Calculated values
formation energy without anion corrections	-1686	meV/atom

Lattice parameters (Å, degrees): 7.7515 7.7515 7.7515 60.00 60.00 60.00
Closest atoms and distances in Å follow each position.
Element x y z (fractional)
Tb 0.0000 0.0000 0.0000  6 Se 2.86
Sc 0.0000 0.0000 0.5000  6 Se 2.74
Sc 0.0000 0.5000 0.0000  6 Se 2.74
Sc 0.0000 0.5000 0.5000  6 Se 2.74
Sc 0.5000 0.0000 0.0000  6 Se 2.74
Sc 0.5000 0.0000 0.5000  6 Se 2.74
Sc 0.5000 0.5000 0.0000  6 Se 2.74
Se 0.2500 0.2500 0.2500  6 Sc 2.74
Se 0.2612 0.2612 0.7388  4 Sc 2.74, 1 Tb 2.86
Se 0.2612 0.7388 0.2612  4 Sc 2.74, 1 Tb 2.86
Se 0.2612 0.7388 0.7388  4 Sc 2.74, 1 Tb 2.86
Se 0.7388 0.2612 0.2612  4 Sc 2.74, 1 Tb 2.86
Se 0.7388 0.2612 0.7388  4 Sc 2.74, 1 Tb 2.86
Se 0.7388 0.7388 0.2612  4 Sc 2.74, 1 Tb 2.86
Se 0.7500 0.7500 0.7500  6 Sc 2.74


Record 2
A plane-wave DFT calculation with PBE was carried out for crystalline CuSBr at its relaxed geometry.

Calculated values
offset from the most stable computed form	0	meV/atom
formation energy without anion corrections	-204	meV/atom

Lattice parameters (Å, degrees): 3.8989 3.8989 11.2160 99.19 99.19 54.45
Closest atoms and distances in Å follow each position.
Element x y z (fractional)
Cu 0.2123 0.2123 0.1902  3 S 2.35-2.61, 2 Br 2.46
Cu 0.7877 0.7877 0.8098  3 S 2.35-2.61, 2 Br 2.46
S 0.4736 0.4736 0.9077  1 S 2.04
S 0.5264 0.5264 0.0923  1 S 2.04
Br 0.1674 0.1674 0.6649  2 Cu 2.46
Br 0.8326 0.8326 0.3351  2 Cu 2.46


Record 3
A plane-wave DFT calculation with PBE was carried out for crystalline Cs2ZrRe at its relaxed geometry.

Calculated values
formation energy from the elements	2324	meV/atom

Lattice parameters (Å, degrees): 5.7053 5.7053 5.7053 60.00 60.00 60.00
Closest atoms and distances in Å follow each position.
Element x y z (fractional)
Cs 0.2500 0.2500 0.2500  4 Zr 3.49, 4 Re 3.49
Cs 0.7500 0.7500 0.7500  4 Zr 3.49, 4 Re 3.49
Zr 0.0000 0.0000 0.0000  8 Cs 3.49
Re 0.5000 0.5000 0.5000  8 Cs 3.49